#i
Here is a geometry-optimized Sr2FeHg structure from the Alexandria database. Energies are from PBE-GGA.

## Properties
The total magnetization comes out at 0.59 μB per atom.

a b c (Å): 6.6086 6.6086 6.6086
angles (deg): 145.19 132.41 60.30
Fractional positions:
Sr: 0.0000 0.0000 0.0000
Sr: 0.7097 0.2097 0.5000
Fe: 0.2752 0.7752 0.5000
Hg: 0.4351 0.4351 0.0000

#ii
Here is a geometry-optimized Sr2FeHg structure from the Alexandria database. Energies are from PBE-GGA.

## Properties
The total magnetization comes out at 0.52 μB per atom.

a b c (Å): 4.5955 6.3586 6.3586
angles (deg): 43.28 90.00 90.00
Fractional positions:
Sr: 0.0000 0.0000 0.0000
Sr: 0.5000 0.2889 0.2889
Fe: 0.0000 0.6977 0.6977
Hg: 0.5000 0.5848 0.5848

#iii
Here is a geometry-optimized Sr2FeHg structure from the Alexandria database. Energies are from PBE-GGA.

## Properties
The total magnetization comes out at 0.66 μB per atom.

a b c (Å): 5.5507 5.5507 5.5507
angles (deg): 120.73 119.82 89.53
Fractional positions:
Sr: 0.2470 0.2470 0.0000
Sr: 0.7530 0.7530 0.0000
Fe: 0.0000 0.5000 0.5000
Hg: 0.5000 0.0000 0.5000

#iv
Here is a geometry-optimized Sr2FeHg structure from the Alexandria database. Energies are from PBE-GGA.

## Properties
The total magnetization comes out at 0.79 μB per atom.

a b c (Å): 5.3639 5.3639 5.3639
angles (deg): 60.00 60.00 60.00
Fractional positions:
Sr: 0.0000 0.0000 0.0000
Sr: 0.2500 0.2500 0.2500
Fe: 0.5000 0.5000 0.5000
Hg: 0.7500 0.7500 0.7500

Which structure is the most stable? The one labeled #ii.

#i
Here is a geometry-optimized Sr2FeHg2 structure from the Alexandria database. Energies are from PBE-GGA.

## Properties
The total magnetization comes out at 0.50 μB per atom.

a b c (Å): 7.5500 7.5500 5.1070
angles (deg): 90.00 90.00 90.00
Fractional positions:
Sr: 0.1746 0.3254 0.0000
Sr: 0.3254 0.8254 0.0000
Sr: 0.6746 0.1746 0.0000
Sr: 0.8254 0.6746 0.0000
Fe: 0.0000 0.0000 0.5000
Fe: 0.5000 0.5000 0.5000
Hg: 0.1434 0.6434 0.5000
Hg: 0.3566 0.1434 0.5000
Hg: 0.6434 0.8566 0.5000
Hg: 0.8566 0.3566 0.5000

#ii
Here is a geometry-optimized Sr2FeHg2 structure from the Alexandria database. Energies are from PBE-GGA.

## Properties
The total magnetization comes out at 0.44 μB per atom.

a b c (Å): 9.6491 9.6491 9.6491
angles (deg): 154.90 154.90 35.80
Fractional positions:
Sr: 0.0984 0.0984 0.0000
Sr: 0.9016 0.9016 0.0000
Fe: 0.5000 0.5000 0.0000
Hg: 0.2500 0.7500 0.5000
Hg: 0.7500 0.2500 0.5000

#iii
Here is a geometry-optimized Sr2FeHg2 structure from the Alexandria database. Energies are from PBE-GGA.

## Properties
The total magnetization comes out at 0.57 μB per atom.

a b c (Å): 6.0523 6.0523 6.0523
angles (deg): 116.68 116.68 95.85
Fractional positions:
Sr: 0.2500 0.7500 0.5000
Sr: 0.7500 0.2500 0.5000
Fe: 0.0000 0.0000 0.0000
Hg: 0.3267 0.3267 0.0000
Hg: 0.6733 0.6733 0.0000

#iv
Here is a geometry-optimized Sr2FeHg2 structure from the Alexandria database. Energies are from PBE-GGA.

## Properties
The total magnetization comes out at 0.50 μB per atom.

a b c (Å): 8.7569 8.7569 4.1756
angles (deg): 90.00 90.00 90.00
Fractional positions:
Sr: 0.1656 0.3344 0.0000
Sr: 0.3344 0.8344 0.0000
Sr: 0.6656 0.1656 0.0000
Sr: 0.8344 0.6656 0.0000
Fe: 0.0000 0.0000 0.0000
Fe: 0.5000 0.5000 0.0000
Hg: 0.1336 0.6336 0.5000
Hg: 0.3664 0.1336 0.5000
Hg: 0.6336 0.8664 0.5000
Hg: 0.8664 0.3664 0.5000

Which structure is the most stable? The one labeled #i.

#i
Here is a geometry-optimized SrFeHg3 structure from the Alexandria database. Energies are from PBE-GGA.

## Properties
The total magnetization comes out at 0.37 μB per atom.

a b c (Å): 5.1229 5.1229 5.1229
angles (deg): 90.00 90.00 90.00
Fractional positions:
Sr: 0.0000 0.0000 0.0000
Fe: 0.5000 0.5000 0.5000
Hg: 0.0000 0.5000 0.5000
Hg: 0.5000 0.0000 0.5000
Hg: 0.5000 0.5000 0.0000

#ii
Here is a geometry-optimized SrFeHg3 structure from the Alexandria database. Energies are from PBE-GGA.

## Properties
The total magnetization comes out at 0.62 μB per atom.

a b c (Å): 6.2354 6.2354 6.2354
angles (deg): 90.00 90.00 90.00
Fractional positions:
Sr: 0.0000 0.0000 0.0000
Fe: 0.5000 0.5000 0.5000
Hg: 0.0000 0.0000 0.5000
Hg: 0.0000 0.5000 0.0000
Hg: 0.5000 0.0000 0.0000

Which structure is the most stable? The one labeled #i.

#i
Here is a geometry-optimized TaFe3Hg structure from the Alexandria database. Energies are from PBE-GGA.

## Properties
The total magnetization comes out at 0.96 μB per atom.

a b c (Å): 4.5626 4.5626 4.5626
angles (deg): 90.00 90.00 90.00
Fractional positions:
Ta: 0.0000 0.0000 0.0000
Fe: 0.0000 0.0000 0.5000
Fe: 0.0000 0.5000 0.0000
Fe: 0.5000 0.0000 0.0000
Hg: 0.5000 0.5000 0.5000

#ii
Here is a geometry-optimized TaFe3Hg structure from the Alexandria database. Energies are from PBE-GGA.

## Properties
The total magnetization comes out at 1.44 μB per atom.

a b c (Å): 4.7000 4.7000 4.7000
angles (deg): 90.00 90.00 90.00
Fractional positions:
Ta: 0.0000 0.0000 0.0000
Fe: 0.0000 0.5000 0.5000
Fe: 0.5000 0.0000 0.5000
Fe: 0.5000 0.5000 0.0000
Hg: 0.5000 0.5000 0.5000

Which structure is the most stable? The one labeled #i.

#i
Here is a geometry-optimized Fe2HgTe structure from the Alexandria database. Energies are from PBE-GGA.

## Properties
The total magnetization comes out at 1.13 μB per atom.

a b c (Å): 3.2362 3.2362 6.5338
angles (deg): 90.00 90.00 90.00
Fractional positions:
Fe: 0.0000 0.0000 0.2327
Fe: 0.0000 0.0000 0.7673
Hg: 0.5000 0.5000 0.5000
Te: 0.5000 0.5000 0.0000

#ii
Here is a geometry-optimized Fe2HgTe structure from the Alexandria database. Energies are from PBE-GGA.

## Properties
The total magnetization comes out at 1.25 μB per atom.

a b c (Å): 8.3960 8.3960 8.3960
angles (deg): 21.88 21.88 21.88
Fractional positions:
Fe: 0.2467 0.2467 0.2467
Fe: 0.7533 0.7533 0.7533
Hg: 0.0000 0.0000 0.0000
Te: 0.5000 0.5000 0.5000

Which structure is the most stable? The one labeled #i.

#i
Here is a geometry-optimized FeHg2Te2 structure from the Alexandria database. Energies are from PBE-GGA.

## Properties
The total magnetization comes out at 0.66 μB per atom.

a b c (Å): 5.8060 5.8060 5.8060
angles (deg): 119.70 119.70 90.51
Fractional positions:
Fe: 0.0000 0.0000 0.0000
Hg: 0.3310 0.3310 0.0000
Hg: 0.6690 0.6690 0.0000
Te: 0.2500 0.7500 0.5000
Te: 0.7500 0.2500 0.5000

#ii
Here is a geometry-optimized FeHg2Te2 structure from the Alexandria database. Energies are from PBE-GGA.

## Properties
The total magnetization comes out at 0.52 μB per atom.

a b c (Å): 6.6450 6.6450 7.2163
angles (deg): 90.00 90.00 90.00
Fractional positions:
Fe: 0.0000 0.0000 0.0000
Fe: 0.5000 0.5000 0.0000
Hg: 0.2455 0.2545 0.5000
Hg: 0.2545 0.7545 0.5000
Hg: 0.7455 0.2455 0.5000
Hg: 0.7545 0.7455 0.5000
Te: 0.1537 0.3463 0.0000
Te: 0.3463 0.8463 0.0000
Te: 0.6537 0.1537 0.0000
Te: 0.8463 0.6537 0.0000

Which structure is the most stable? The one labeled #ii.

#i
Here is a geometry-optimized Th4FeHg structure from the Alexandria database. Energies are from PBE-GGA.

## Properties
The total magnetization comes out at 0.00 μB per atom.

a b c (Å): 6.0665 6.8803 8.1932
angles (deg): 90.00 99.50 90.00
Fractional positions:
Th: 0.0973 0.2500 0.0570
Th: 0.1606 0.7500 0.3579
Th: 0.3781 0.5086 0.7793
Th: 0.3781 0.9914 0.7793
Th: 0.6219 0.0086 0.2207
Th: 0.6219 0.4914 0.2207
Th: 0.8394 0.2500 0.6421
Th: 0.9027 0.7500 0.9430
Fe: 0.3388 0.7500 0.0605
Fe: 0.6612 0.2500 0.9395
Hg: 0.2632 0.2500 0.4396
Hg: 0.7368 0.7500 0.5604

#ii
Here is a geometry-optimized Th4FeHg structure from the Alexandria database. Energies are from PBE-GGA.

## Properties
The total magnetization comes out at 0.00 μB per atom.

a b c (Å): 7.6706 7.6706 6.1064
angles (deg): 99.54 99.54 108.74
Fractional positions:
Th: 0.0562 0.7187 0.9463
Th: 0.1841 0.3815 0.6169
Th: 0.2813 0.9438 0.5537
Th: 0.3815 0.1841 0.1169
Th: 0.6185 0.8159 0.8831
Th: 0.7187 0.0562 0.4463
Th: 0.8159 0.6185 0.3831
Th: 0.9438 0.2813 0.0537
Fe: 0.0052 0.9948 0.2500
Fe: 0.9948 0.0052 0.7500
Hg: 0.3874 0.6126 0.2500
Hg: 0.6126 0.3874 0.7500

Which structure is the most stable? The one labeled #i.

#i
Here is a geometry-optimized Th3FeHg structure from the Alexandria database. Energies are from PBE-GGA.

## Properties
The total magnetization comes out at 0.00 μB per atom.

a b c (Å): 9.4549 3.8861 14.9714
angles (deg): 90.00 90.00 90.00
Fractional positions:
Th: 0.0198 0.2500 0.1090
Th: 0.1734 0.2500 0.5023
Th: 0.2109 0.7500 0.2808
Th: 0.2891 0.2500 0.7808
Th: 0.3266 0.7500 0.0023
Th: 0.4802 0.7500 0.6090
Th: 0.5198 0.2500 0.3910
Th: 0.6734 0.2500 0.9977
Th: 0.7109 0.7500 0.2192
Th: 0.7891 0.2500 0.7192
Th: 0.8266 0.7500 0.4977
Th: 0.9802 0.7500 0.8910
Fe: 0.1675 0.2500 0.9365
Fe: 0.3325 0.7500 0.4365
Fe: 0.6675 0.2500 0.5635
Fe: 0.8325 0.7500 0.0635
Hg: 0.0661 0.7500 0.6695
Hg: 0.4339 0.2500 0.1695
Hg: 0.5661 0.7500 0.8305
Hg: 0.9339 0.2500 0.3305

#ii
Here is a geometry-optimized Th3FeHg structure from the Alexandria database. Energies are from PBE-GGA.

## Properties
The total magnetization comes out at 0.00 μB per atom.

a b c (Å): 8.6912 3.9586 8.8345
angles (deg): 90.00 107.00 90.00
Fractional positions:
Th: 0.0338 0.2500 0.3188
Th: 0.3234 0.2500 0.9527
Th: 0.3721 0.7500 0.6285
Th: 0.6279 0.2500 0.3715
Th: 0.6766 0.7500 0.0473
Th: 0.9662 0.7500 0.6812
Fe: 0.1729 0.2500 0.6554
Fe: 0.8271 0.7500 0.3446
Hg: 0.3046 0.7500 0.2357
Hg: 0.6954 0.2500 0.7643

#iii
Here is a geometry-optimized Th3FeHg structure from the Alexandria database. Energies are from PBE-GGA.

## Properties
The total magnetization comes out at 0.00 μB per atom.

a b c (Å): 5.2060 5.2060 5.2060
angles (deg): 90.00 90.00 90.00
Fractional positions:
Th: 0.0000 0.0000 0.5000
Th: 0.0000 0.5000 0.0000
Th: 0.5000 0.0000 0.0000
Fe: 0.0000 0.0000 0.0000
Hg: 0.5000 0.5000 0.5000

Which structure is the most stable? The one labeled #i.

#i
Here is a geometry-optimized TiFeHg2 structure from the Alexandria database. Energies are from PBE-GGA.

## Properties
The total magnetization comes out at 0.34 μB per atom.

a b c (Å): 6.0092 6.0092 6.0092
angles (deg): 102.96 102.96 123.46
Fractional positions:
Ti: 0.0000 0.0000 0.0000
Ti: 0.7500 0.2500 0.5000
Fe: 0.2500 0.7500 0.5000
Fe: 0.5000 0.5000 0.0000
Hg: 0.1433 0.6250 0.0183
Hg: 0.3750 0.3933 0.5183
Hg: 0.6067 0.1250 0.9817
Hg: 0.8750 0.8567 0.4817

#ii
Here is a geometry-optimized TiFeHg2 structure from the Alexandria database. Energies are from PBE-GGA.

## Properties
The total magnetization comes out at 0.00 μB per atom.

a b c (Å): 4.5791 4.5791 4.5791
angles (deg): 60.00 60.00 60.00
Fractional positions:
Ti: 0.0000 0.0000 0.0000
Fe: 0.5000 0.5000 0.5000
Hg: 0.2500 0.2500 0.2500
Hg: 0.7500 0.7500 0.7500

Which structure is the most stable? The one labeled #ii.

#i
Here is a geometry-optimized TlFeHg2 structure from the Alexandria database. Energies are from PBE-GGA.

## Properties
The total magnetization comes out at 0.69 μB per atom.

a b c (Å): 3.1679 3.1679 8.8591
angles (deg): 90.00 90.00 90.00
Fractional positions:
Tl: 0.0000 0.0000 0.0000
Fe: 0.0000 0.0000 0.5000
Hg: 0.5000 0.5000 0.3037
Hg: 0.5000 0.5000 0.6963

#ii
Here is a geometry-optimized TlFeHg2 structure from the Alexandria database. Energies are from PBE-GGA.

## Properties
The total magnetization comes out at 0.82 μB per atom.

a b c (Å): 5.0447 5.0447 5.0447
angles (deg): 60.00 60.00 60.00
Fractional positions:
Tl: 0.0000 0.0000 0.0000
Fe: 0.7500 0.7500 0.7500
Hg: 0.2500 0.2500 0.2500
Hg: 0.5000 0.5000 0.5000

Which structure is the most stable? The one labeled #i.